## Cd2FeBr (SCAN)

Data for a PBEsol-optimized structure of Cd2FeBr.

a b c (Å): 5.6678 8.6057 3.1959
angles (deg): 90.00 90.00 90.00
Space group Cmmm (No. 65)
Unique sites:
Cd 0.2500 0.2500 0.0000 [4 per cell]
Fe 0.0000 0.0000 0.5000 [2 per cell]
Br 0.0000 0.5000 0.5000 [2 per cell]

E_tot: -194.8 eV per cell
Formation energy (no corrections): 98 kJ/mol of formula units